# CoSb2Rh (PBEsol, relaxed)
# Total energy = -24.80 eV per cell
data_CoSb2Rh
_chemical_formula_sum 'Co1 Sb2 Rh1'
_space_group_name_H-M_alt 'P 1'
_space_group_IT_number 1
_space_group_name_Hall 'P 1'
_cell_length_a 3.188
_cell_length_b 3.188
_cell_length_c 6.440
_cell_angle_alpha 90.00
_cell_angle_beta 90.00
_cell_angle_gamma 90.00
loop_
_atom_site_label
_atom_site_fract_x
_atom_site_fract_y
_atom_site_fract_z
_atom_site_occupancy
Co1 0.000 0.000 0.000 1
Sb1 0.500 0.500 0.241 1
Sb2 0.500 0.500 0.759 1
Rh1 0.000 0.000 0.500 1

***

# BeCrBi3 (PBEsol, relaxed)
# Total energy = -23.02 eV per cell
data_BeCrBi3
_chemical_formula_sum 'Be1 Cr1 Bi3'
_space_group_name_H-M_alt 'P 1'
_space_group_IT_number 1
_space_group_name_Hall 'P 1'
_cell_length_a 5.038
_cell_length_b 5.038
_cell_length_c 5.038
_cell_angle_alpha 90.00
_cell_angle_beta 90.00
_cell_angle_gamma 90.00
loop_
_atom_site_label
_atom_site_fract_x
_atom_site_fract_y
_atom_site_fract_z
_atom_site_occupancy
Be1 0.000 0.000 0.000 1
Cr1 0.500 0.500 0.500 1
Bi1 0.000 0.000 0.500 1
Bi2 0.000 0.500 0.000 1
Bi3 0.500 0.000 0.000 1

***

# TbMn6Al6 (PBEsol, relaxed)
# Total energy = -90.96 eV per cell
data_TbMn6Al6
_chemical_formula_sum 'Tb1 Mn6 Al6'
_space_group_name_H-M_alt 'P 1'
_space_group_IT_number 1
_space_group_name_Hall 'P 1'
_cell_length_a 6.483
_cell_length_b 6.483
_cell_length_c 6.483
_cell_angle_alpha 135.85
_cell_angle_beta 98.85
_cell_angle_gamma 97.39
loop_
_atom_site_label
_atom_site_fract_x
_atom_site_fract_y
_atom_site_fract_z
_atom_site_occupancy
Tb1 0.000 0.000 0.000 1
Mn1 0.000 0.000 0.500 1
Mn2 0.000 0.500 0.000 1
Mn3 0.240 0.740 0.500 1
Mn4 0.500 0.000 0.000 1
Mn5 0.500 0.500 0.500 1
Mn6 0.760 0.260 0.500 1
Al1 0.195 0.500 0.695 1
Al2 0.341 0.341 0.000 1
Al3 0.347 0.000 0.347 1
Al4 0.653 0.000 0.653 1
Al5 0.659 0.659 0.000 1
Al6 0.805 0.500 0.305 1

***

# ZrBe3Ge (PBEsol, relaxed)
# Total energy = -17.07 eV per cell
data_ZrBe3Ge
_chemical_formula_sum 'Zr1 Be3 Ge1'
_space_group_name_H-M_alt 'P 1'
_space_group_IT_number 1
_space_group_name_Hall 'P 1'
_cell_length_a 4.638
_cell_length_b 4.638
_cell_length_c 4.638
_cell_angle_alpha 90.00
_cell_angle_beta 90.00
_cell_angle_gamma 90.00
loop_
_atom_site_label
_atom_site_fract_x
_atom_site_fract_y
_atom_site_fract_z
_atom_site_occupancy
Zr1 0.000 0.000 0.000 1
Be1 0.000 0.000 0.500 1
Be2 0.000 0.500 0.000 1
Be3 0.500 0.000 0.000 1
Ge1 0.500 0.500 0.500 1